(1)
A plane-wave DFT calculation with PBE was carried out for a geometry-optimized CaZn2GaRu structure.

Summary:
Its space-group type is P4/mmm, No. 123. For the formation energy, the calculation gives -0.18 eV per atom.

```
CaZn2GaRu
1.0
4.823 0.000 0.000
0.000 4.823 0.000
0.000 0.000 4.727
Ca Zn Ga Ru
1 2 1 1
Direct
0.000 0.000 0.000 Ca
0.000 0.500 0.500 Zn
0.500 0.000 0.500 Zn
0.500 0.500 0.000 Ga
0.500 0.500 0.500 Ru
```

(2)
A plane-wave DFT calculation with PBE was carried out for a geometry-optimized CaGa2S4 structure.

Summary:
The formation energy from raw total energies comes out at -1.11 eV per atom. Its space-group type is Cccm, No. 66.

```
CaGa2S4
1.0
3.027 -5.102 0.000
3.027 5.102 0.000
0.000 0.000 10.242
Ca Ga S
2 4 8
Direct
0.000 0.000 0.250 Ca
0.000 0.000 0.750 Ca
0.265 0.731 0.000 Ga
0.269 0.735 0.500 Ga
0.731 0.265 0.500 Ga
0.735 0.269 0.000 Ga
0.000 0.500 0.170 S
0.000 0.500 0.830 S
0.144 0.306 0.500 S
0.306 0.144 0.000 S
0.500 0.000 0.330 S
0.500 0.000 0.670 S
0.694 0.856 0.000 S
0.856 0.694 0.500 S
```

(3)
A plane-wave DFT calculation with PBE was carried out for a geometry-optimized Ca3Ga5S12 structure.

Summary:
The formation energy from raw total energies comes out at -0.86 eV per atom. Its space-group type is Ia-3d, No. 230.

```
Ca3Ga5S12
1.0
-7.591 7.591 7.591
7.591 -7.591 7.591
7.591 7.591 -7.591
Ca Ga S
12 20 48
Direct
0.125 0.250 0.375 Ca
0.125 0.375 0.750 Ca
0.250 0.375 0.125 Ca
0.250 0.875 0.625 Ca
0.375 0.125 0.250 Ca
0.375 0.750 0.125 Ca
0.625 0.250 0.875 Ca
0.625 0.875 0.750 Ca
0.750 0.125 0.375 Ca
0.750 0.625 0.875 Ca
0.875 0.625 0.250 Ca
0.875 0.750 0.625 Ca
0.000 0.000 0.000 Ga
0.000 0.000 0.500 Ga
0.000 0.500 0.000 Ga
0.000 0.500 0.500 Ga
0.125 0.750 0.875 Ga
0.125 0.875 0.250 Ga
0.250 0.125 0.875 Ga
0.250 0.625 0.375 Ga
0.375 0.250 0.625 Ga
0.375 0.625 0.750 Ga
0.500 0.000 0.000 Ga
0.500 0.000 0.500 Ga
0.500 0.500 0.000 Ga
0.500 0.500 0.500 Ga
0.625 0.375 0.250 Ga
0.625 0.750 0.375 Ga
0.750 0.375 0.625 Ga
0.750 0.875 0.125 Ga
0.875 0.125 0.750 Ga
0.875 0.250 0.125 Ga
0.030 0.208 0.119 S
0.030 0.322 0.910 S
0.088 0.708 0.678 S
0.088 0.881 0.410 S
0.090 0.619 0.412 S
0.090 0.970 0.678 S
0.119 0.030 0.208 S
0.119 0.590 0.912 S
0.178 0.208 0.588 S
0.178 0.470 0.590 S
0.208 0.119 0.030 S
0.208 0.588 0.178 S
0.292 0.322 0.912 S
0.292 0.470 0.381 S
0.322 0.910 0.030 S
0.322 0.912 0.292 S
0.381 0.292 0.470 S
0.381 0.588 0.910 S
0.410 0.088 0.881 S
0.410 0.822 0.530 S
0.412 0.090 0.619 S
0.412 0.822 0.792 S
0.470 0.381 0.292 S
0.470 0.590 0.178 S
0.530 0.410 0.822 S
0.530 0.619 0.708 S
0.588 0.178 0.208 S
0.588 0.910 0.381 S
0.590 0.178 0.470 S
0.590 0.912 0.119 S
0.619 0.412 0.090 S
0.619 0.708 0.530 S
0.678 0.088 0.708 S
0.678 0.090 0.970 S
0.708 0.530 0.619 S
0.708 0.678 0.088 S
0.792 0.412 0.822 S
0.792 0.881 0.970 S
0.822 0.530 0.410 S
0.822 0.792 0.412 S
0.881 0.410 0.088 S
0.881 0.970 0.792 S
0.910 0.030 0.322 S
0.910 0.381 0.588 S
0.912 0.119 0.590 S
0.912 0.292 0.322 S
0.970 0.678 0.090 S
0.970 0.792 0.881 S
```

(4)
A plane-wave DFT calculation with PBE was carried out for a geometry-optimized CaGaS2 structure.

Summary:
The formation energy from raw total energies comes out at -1.05 eV per atom. Its space-group type is I-42d, No. 122.

```
CaGaS2
1.0
-2.942 2.942 6.461
2.942 -2.942 6.461
2.942 2.942 -6.461
Ca Ga S
2 2 4
Direct
0.000 0.000 0.000 Ca
0.750 0.250 0.500 Ca
0.250 0.750 0.500 Ga
0.500 0.500 0.000 Ga
0.161 0.625 0.036 S
0.375 0.411 0.536 S
0.589 0.125 0.964 S
0.875 0.839 0.464 S
```

(5)
A plane-wave DFT calculation with PBE was carried out for a geometry-optimized Ca2GaS structure.

Summary:
The formation energy from raw total energies comes out at -0.85 eV per atom. Its space-group type is I-42d, No. 122.

```
Ca2GaS
1.0
-3.836 3.836 3.889
3.836 -3.836 3.889
3.836 3.836 -3.889
Ca Ga S
4 2 2
Direct
0.088 0.125 0.463 Ca
0.375 0.912 0.037 Ca
0.662 0.625 0.537 Ca
0.875 0.338 0.963 Ca
0.250 0.750 0.500 Ga
0.500 0.500 0.000 Ga
0.000 0.000 0.000 S
0.750 0.250 0.500 S
```

(6)
A plane-wave DFT calculation with PBE was carried out for a geometry-optimized CaGa2S4 structure.

Summary:
The formation energy from raw total energies comes out at -1.12 eV per atom. Its space-group type is Fddd, No. 70.

```
CaGa2S4
1.0
0.000 10.134 10.176
6.115 0.000 10.176
6.115 10.134 0.000
Ca Ga S
8 16 32
Direct
0.123 0.123 0.627 Ca
0.125 0.125 0.125 Ca
0.373 0.373 0.877 Ca
0.375 0.375 0.375 Ca
0.625 0.625 0.625 Ca
0.627 0.627 0.123 Ca
0.875 0.875 0.875 Ca
0.877 0.877 0.373 Ca
0.032 0.467 0.859 Ga
0.112 0.387 0.364 Ga
0.141 0.859 0.467 Ga
0.141 0.859 0.968 Ga
0.363 0.636 0.613 Ga
0.364 0.637 0.112 Ga
0.387 0.112 0.637 Ga
0.467 0.032 0.141 Ga
0.533 0.968 0.859 Ga
0.613 0.888 0.363 Ga
0.636 0.363 0.888 Ga
0.637 0.364 0.387 Ga
0.859 0.141 0.032 Ga
0.859 0.141 0.533 Ga
0.888 0.613 0.636 Ga
0.968 0.533 0.141 Ga
0.084 0.087 0.416 S
0.087 0.084 0.913 S
0.087 0.584 0.413 S
0.087 0.584 0.913 S
0.154 0.843 0.657 S
0.155 0.343 0.157 S
0.157 0.846 0.155 S
0.184 0.314 0.653 S
0.314 0.184 0.350 S
0.343 0.155 0.846 S
0.347 0.650 0.816 S
0.350 0.653 0.314 S
0.413 0.417 0.087 S
0.416 0.913 0.084 S
0.416 0.913 0.583 S
0.417 0.413 0.584 S
0.583 0.587 0.416 S
0.584 0.087 0.417 S
0.584 0.087 0.916 S
0.587 0.583 0.913 S
0.650 0.347 0.686 S
0.653 0.350 0.184 S
0.657 0.845 0.154 S
0.686 0.816 0.650 S
0.816 0.686 0.347 S
0.843 0.154 0.845 S
0.845 0.657 0.843 S
0.846 0.157 0.343 S
0.913 0.416 0.087 S
0.913 0.416 0.587 S
0.913 0.916 0.087 S
0.916 0.913 0.584 S
```

(7)
A plane-wave DFT calculation with PBE was carried out for a geometry-optimized CaGaS2 structure.

Summary:
The formation energy from raw total energies comes out at -0.90 eV per atom. Its space-group type is R-3m, No. 166.

```
CaGaS2
1.0
2.114 1.221 7.386
-2.114 1.221 7.386
0.000 -2.442 7.386
Ca Ga S
1 1 2
Direct
0.000 0.000 0.000 Ca
0.500 0.500 0.500 Ga
0.398 0.398 0.398 S
0.602 0.602 0.602 S
```

(8)
A plane-wave DFT calculation with PBE was carried out for a geometry-optimized CaGaS2 structure.

Summary:
The formation energy from raw total energies comes out at -1.22 eV per atom. Its space-group type is Pm, No. 6.

```
CaGaS2
1.0
3.924 0.000 0.000
0.000 3.875 0.000
-0.038 0.000 5.794
Ca Ga S
1 1 2
Direct
0.000 0.000 0.000 Ca
0.459 0.500 0.539 Ga
0.036 0.000 0.493 S
0.499 0.500 0.963 S
```

(9)
A plane-wave DFT calculation with PBE was carried out for a geometry-optimized CaGa2S4 structure.

Summary:
The formation energy from raw total energies comes out at -1.12 eV per atom. Its space-group type is P2_1/c, No. 14.

```
CaGa2S4
1.0
7.309 0.000 0.000
0.000 27.368 0.000
-2.290 0.000 6.521
Ca Ga S
8 16 32
Direct
0.047 0.193 0.100 Ca
0.047 0.307 0.600 Ca
0.329 0.571 0.942 Ca
0.329 0.929 0.442 Ca
0.671 0.071 0.558 Ca
0.671 0.429 0.058 Ca
0.953 0.693 0.400 Ca
0.953 0.807 0.900 Ca
0.016 0.065 0.233 Ga
0.016 0.435 0.733 Ga
0.267 0.052 0.943 Ga
0.267 0.448 0.443 Ga
0.289 0.151 0.632 Ga
0.289 0.349 0.132 Ga
0.448 0.735 0.080 Ga
0.448 0.765 0.580 Ga
0.552 0.235 0.420 Ga
0.552 0.265 0.920 Ga
0.711 0.651 0.868 Ga
0.711 0.849 0.368 Ga
0.733 0.552 0.557 Ga
0.733 0.948 0.057 Ga
0.984 0.565 0.267 Ga
0.984 0.935 0.767 Ga
0.012 0.597 0.587 S
0.012 0.903 0.087 S
0.022 0.630 0.073 S
0.022 0.870 0.573 S
0.216 0.515 0.235 S
0.216 0.985 0.735 S
0.241 0.747 0.753 S
0.241 0.753 0.253 S
0.262 0.221 0.808 S
0.262 0.279 0.308 S
0.314 0.029 0.281 S
0.314 0.471 0.781 S
0.428 0.158 0.374 S
0.428 0.342 0.874 S
0.488 0.098 0.860 S
0.488 0.402 0.360 S
0.512 0.598 0.640 S
0.512 0.902 0.140 S
0.572 0.658 0.126 S
0.572 0.842 0.626 S
0.686 0.529 0.219 S
0.686 0.971 0.719 S
0.738 0.721 0.692 S
0.738 0.779 0.192 S
0.759 0.247 0.747 S
0.759 0.253 0.247 S
0.784 0.015 0.265 S
0.784 0.485 0.765 S
0.978 0.130 0.427 S
0.978 0.370 0.927 S
0.988 0.097 0.913 S
0.988 0.403 0.413 S
```

(10)
A plane-wave DFT calculation with PBE was carried out for a geometry-optimized Ca2GaS structure.

Summary:
The formation energy from raw total energies comes out at -0.68 eV per atom. Its space-group type is Fm-3m, No. 225.

```
Ca2GaS
1.0
0.000 3.630 3.630
3.630 0.000 3.630
3.630 3.630 0.000
Ca Ga S
2 1 1
Direct
0.250 0.250 0.250 Ca
0.750 0.750 0.750 Ca
0.000 0.000 0.000 Ga
0.500 0.500 0.500 S
```

(11)
A plane-wave DFT calculation with PBE was carried out for a geometry-optimized CaGaS structure.

Summary:
The formation energy from raw total energies comes out at -1.20 eV per atom. Its space-group type is R-3m, No. 166.

```
CaGaS
1.0
2.334 1.348 7.808
-2.334 1.348 7.808
0.000 -2.695 7.808
Ca Ga S
2 2 2
Direct
0.097 0.097 0.097 Ca
0.903 0.903 0.903 Ca
0.326 0.326 0.326 Ga
0.674 0.674 0.674 Ga
0.220 0.220 0.220 S
0.780 0.780 0.780 S
```

(12)
A plane-wave DFT calculation with PBE was carried out for a geometry-optimized CaGa2S structure.

Summary:
The formation energy from raw total energies comes out at -0.50 eV per atom. Its space-group type is I-42d, No. 122.

```
CaGa2S
1.0
-4.029 4.029 2.799
4.029 -4.029 2.799
4.029 4.029 -2.799
Ca Ga S
2 4 2
Direct
0.000 0.000 0.000 Ca
0.750 0.250 0.500 Ca
0.166 0.125 0.541 Ga
0.375 0.834 0.959 Ga
0.584 0.625 0.459 Ga
0.875 0.416 0.041 Ga
0.250 0.750 0.500 S
0.500 0.500 0.000 S
```

(13)
A plane-wave DFT calculation with PBE was carried out for a geometry-optimized CaScGa2S structure.

Summary:
The formation energy from raw total energies comes out at -0.25 eV per atom. Its space-group type is P4/mmm, No. 123.

```
CaScGa2S
1.0
5.238 0.000 0.000
0.000 5.238 0.000
0.000 0.000 4.723
Ca Sc Ga S
1 1 2 1
Direct
0.000 0.000 0.000 Ca
0.500 0.500 0.000 Sc
0.000 0.500 0.500 Ga
0.500 0.000 0.500 Ga
0.500 0.500 0.500 S
```

(14)
A plane-wave DFT calculation with PBE was carried out for a geometry-optimized CaGaSi2S6 structure.

Summary:
The formation energy from raw total energies comes out at -0.78 eV per atom. Its space-group type is C2/c, No. 15.

```
CaGaSi2S6
1.0
6.181 -5.938 0.000
6.181 5.938 0.000
-1.521 0.000 6.202
Ca Ga Si S
2 2 4 12
Direct
0.108 0.892 0.750 Ca
0.892 0.108 0.250 Ca
0.277 0.723 0.250 Ga
0.723 0.277 0.750 Ga
0.214 0.375 0.737 Si
0.375 0.214 0.237 Si
0.625 0.786 0.763 Si
0.786 0.625 0.263 Si
0.026 0.209 0.676 S
0.134 0.595 0.881 S
0.209 0.026 0.176 S
0.292 0.420 0.443 S
0.405 0.866 0.619 S
0.420 0.292 0.943 S
0.580 0.708 0.057 S
0.595 0.134 0.381 S
0.708 0.580 0.557 S
0.791 0.974 0.824 S
0.866 0.405 0.119 S
0.974 0.791 0.324 S
```

(15)
A plane-wave DFT calculation with PBE was carried out for a geometry-optimized CaGa2SnS6 structure.

Summary:
The formation energy from raw total energies comes out at -0.77 eV per atom. Its space-group type is C2/c, No. 15.

```
CaGa2SnS6
1.0
6.370 -6.050 0.000
6.370 6.050 0.000
-2.493 0.000 6.549
Ca Ga Sn S
2 4 2 12
Direct
0.117 0.883 0.750 Ca
0.883 0.117 0.250 Ca
0.256 0.388 0.794 Ga
0.388 0.256 0.294 Ga
0.612 0.744 0.706 Ga
0.744 0.612 0.206 Ga
0.207 0.793 0.250 Sn
0.793 0.207 0.750 Sn
0.049 0.190 0.659 S
0.122 0.616 0.914 S
0.190 0.049 0.159 S
0.294 0.448 0.511 S
0.384 0.878 0.586 S
0.448 0.294 0.011 S
0.552 0.706 0.989 S
0.616 0.122 0.414 S
0.706 0.552 0.489 S
0.810 0.951 0.841 S
0.878 0.384 0.086 S
0.951 0.810 0.341 S
```

(16)
A plane-wave DFT calculation with PBE was carried out for a geometry-optimized CaGaSn2S structure.

Summary:
The formation energy from raw total energies comes out at 0.90 eV per atom. Its space-group type is P4/mmm, No. 123.

```
CaGaSn2S
1.0
5.853 0.000 0.000
0.000 5.853 0.000
0.000 0.000 5.482
Ca Ga Sn S
1 1 2 1
Direct
0.000 0.000 0.000 Ca
0.000 0.000 0.500 Ga
0.000 0.500 0.000 Sn
0.500 0.000 0.000 Sn
0.500 0.500 0.500 S
```